Below is an optimized crystal structure of Cs3RbW2O8, with properties calculated at the GGA+U level.

a b c (Å): 6.7530 6.7530 8.6668
angles (deg): 90.00 90.00 120.00
Space group P-3m1 (No. 164)
Symmetry-distinct sites (fractional):
Cs: 0.0000 0.0000 0.0000
Cs: 0.3333 0.6667 0.6743
Rb: 0.0000 0.0000 0.5000
W: 0.3333 0.6667 0.2131
O: 0.1872 0.3743 0.2863
O: 0.3333 0.6667 0.0041

Output
- total magnetization (μB per atom) = 0.02
- E (eV per atom) = -6.17